<one>
The following is a DFT calculation (GGA-PBE) of Tb3NdCu2 after structural relaxation.

Properties
Total magnetization   0.00 Bohr magnetons per cell

Lattice parameters (Å, degrees): 3.514 3.514 12.250 90.00 90.00 90.00
Fractional coordinates of all 6 atoms:
Tb1 0.000 0.000 0.279
Tb2 0.000 0.000 0.721
Tb3 0.000 0.000 0.000
Cu1 0.500 0.500 0.143
Cu2 0.500 0.500 0.857
Nd1 0.500 0.500 0.500

<two>
The following is a DFT calculation (GGA-PBE) of Tb3NdCu2 after structural relaxation.

Properties
Total magnetization   0.00 Bohr magnetons per cell

Lattice parameters (Å, degrees): 6.893 7.218 8.415 115.40 114.18 90.00
Fractional coordinates of all 12 atoms:
Tb1 0.763 0.013 0.527
Tb2 0.237 0.487 0.473
Tb3 0.500 0.250 0.000
Tb4 0.500 0.750 0.000
Tb5 0.763 0.513 0.527
Tb6 0.237 0.987 0.473
Cu1 0.151 0.857 0.714
Cu2 0.849 0.143 0.286
Cu3 0.437 0.643 0.286
Cu4 0.563 0.357 0.714
Nd1 0.000 0.000 0.000
Nd2 0.000 0.500 0.000

Most stable structure: <one>

<one>
The following is a DFT calculation (GGA-PBE) of Tb2NdCu2 after structural relaxation.

Properties
Total magnetization   0.00 Bohr magnetons per cell

Lattice parameters (Å, degrees): 4.684 5.002 10.841 96.90 90.00 90.00
Fractional coordinates of all 10 atoms:
Cu1 0.750 0.215 0.366
Cu2 0.250 0.785 0.634
Cu3 0.250 0.377 0.995
Cu4 0.750 0.623 0.005
Tb1 0.750 0.155 0.115
Tb2 0.250 0.845 0.885
Tb3 0.750 0.749 0.494
Tb4 0.250 0.251 0.506
Nd1 0.250 0.692 0.244
Nd2 0.750 0.308 0.756

<two>
The following is a DFT calculation (GGA-PBE) of Tb2NdCu2 after structural relaxation.

Properties
Total magnetization   0.00 Bohr magnetons per cell

Lattice parameters (Å, degrees): 3.559 5.163 13.232 90.00 97.72 90.00
Fractional coordinates of all 10 atoms:
Cu1 0.360 0.250 0.719
Cu2 0.458 0.750 0.914
Cu3 0.542 0.250 0.086
Cu4 0.640 0.750 0.281
Tb1 0.953 0.250 0.907
Tb2 0.231 0.750 0.461
Tb3 0.047 0.750 0.093
Tb4 0.769 0.250 0.539
Nd1 0.140 0.250 0.282
Nd2 0.860 0.750 0.718

Most stable structure: <two>

<one>
The following is a DFT calculation (GGA-PBE) of TbNdCu4 after structural relaxation.

Properties
Total magnetization   0.00 Bohr magnetons per cell

Lattice parameters (Å, degrees): 5.319 5.319 5.319 60.00 60.00 60.00
Fractional coordinates of all 6 atoms:
Nd1 0.250 0.250 0.250
Cu1 0.626 0.123 0.626
Cu2 0.123 0.626 0.626
Cu3 0.626 0.626 0.123
Cu4 0.626 0.626 0.626
Tb1 0.000 0.000 0.000

<two>
The following is a DFT calculation (GGA-PBE) of TbNdCu4 after structural relaxation.

Properties
Total magnetization   0.00 Bohr magnetons per cell

Lattice parameters (Å, degrees): 4.323 5.541 5.541 78.48 67.04 67.04
Fractional coordinates of all 6 atoms:
Cu1 0.834 0.869 0.463
Cu2 0.834 0.463 0.869
Cu3 0.164 0.033 0.639
Cu4 0.164 0.639 0.033
Nd1 0.542 0.458 0.458
Tb1 0.462 0.038 0.038

Most stable structure: <two>